Li2AcAg3 | GGA-PBE | optimized geometry

Computed properties:
Formation energy from the elements, eV/atom: -0.216
Spin magnetization, μB/cell: 0.00
Calculated total energy, Ry/atom: -0.21787
SG: Cmcm (63)

Cell lengths 7.052, 7.052, 5.433 Å; angles 90.00, 90.00, 79.74 degrees
Fractional coordinates of all 12 atoms:
Li 0.214 0.214 0.000
Li 0.214 0.214 0.500
Li 0.786 0.786 0.000
Li 0.786 0.786 0.500
Ac 0.307 0.693 0.750
Ac 0.693 0.307 0.250
Ag 0.061 0.939 0.250
Ag 0.085 0.536 0.250
Ag 0.464 0.915 0.250
Ag 0.536 0.085 0.750
Ag 0.915 0.464 0.750
Ag 0.939 0.061 0.750